DFT (PBE-GGA) results for a relaxed structure of Nd4Y5Mg.

Cell lengths 8.1789, 8.1789, 8.1789 Å; angles 97.27, 97.27, 138.32 degrees
Last column: nearest neighbours and their distance in Å.
Fractional coordinates of all 10 atoms:
Nd: 0.0000 0.3194 0.3194  5 Y 3.41-3.78
Nd: 0.0000 0.6806 0.6806  5 Y 3.41-3.78
Nd: 0.3194 0.0000 0.3194  5 Y 3.41-3.78
Nd: 0.6806 0.0000 0.6806  5 Y 3.41-3.78
Y: 0.3241 0.3241 0.6307  1 Mg 3.10, 1 Y 3.32, 2 Nd 3.41
Y: 0.3241 0.6935 0.0000  1 Mg 3.10, 1 Y 3.32, 2 Nd 3.41
Y: 0.6935 0.3241 0.0000  1 Mg 3.10, 1 Y 3.32, 2 Nd 3.41
Y: 0.6935 0.6935 0.3693  1 Mg 3.10, 1 Y 3.32, 2 Nd 3.41
Y: 0.8076 0.8076 0.0000  2 Mg 2.80-3.02
Mg: 0.2880 0.2880 0.0000  6 Y 2.80-3.10

E_form = 16.9 kJ/mol of atoms
crystal system = tetragonal
DOS at the Fermi energy = 13.25 states/eV/cell

=====

DFT (PBE-GGA) results for a relaxed structure of Nd2Y5Mg.

Cell lengths 6.4750, 8.6854, 9.8449 Å; angles 101.92, 99.43, 99.02 degrees
Last column: nearest neighbours and their distance in Å.
Fractional coordinates of all 16 atoms:
Nd: 0.0000 0.0000 0.0000  2 Nd 3.24, 2 Mg 3.39
Nd: 0.0000 0.0000 0.5000  8 Y 3.36-3.49
Nd: 0.5000 0.0000 0.0000  2 Nd 3.24, 4 Y 3.47-3.49, 2 Mg 3.51
Nd: 0.5000 0.5000 0.5000  2 Mg 3.34, 4 Y 3.35-3.56
Y: 0.0763 0.6852 0.6606  4 Y 3.31-3.55, 1 Nd 3.49, 1 Mg 3.55
Y: 0.1858 0.6939 0.3197  7 Y 3.33-3.65, 2 Nd 3.35-3.38, 1 Mg 3.46
Y: 0.2194 0.6173 0.9778  2 Mg 3.23-3.28, 5 Y 3.31-3.45, 1 Nd 3.47
Y: 0.3166 0.2683 0.7813  5 Y 3.33-3.72, 2 Nd 3.36-3.69, 2 Mg 3.52
Y: 0.4463 0.0814 0.3531  5 Y 3.44-3.72, 3 Nd 3.48-3.56, 1 Mg 3.48
Y: 0.5537 0.9186 0.6469  5 Y 3.44-3.72, 3 Nd 3.48-3.56, 1 Mg 3.48
Y: 0.6834 0.7317 0.2187  5 Y 3.33-3.72, 2 Nd 3.36-3.69, 2 Mg 3.52
Y: 0.7806 0.3827 0.0222  2 Mg 3.23-3.28, 5 Y 3.31-3.45, 1 Nd 3.47
Y: 0.8142 0.3061 0.6803  7 Y 3.33-3.65, 2 Nd 3.35-3.38, 1 Mg 3.46
Y: 0.9237 0.3148 0.3394  4 Y 3.31-3.55, 1 Nd 3.49, 1 Mg 3.55
Mg: 0.3427 0.3551 0.1503  7 Y 3.23-3.55, 3 Nd 3.34-3.51
Mg: 0.6573 0.6449 0.8497  7 Y 3.23-3.55, 3 Nd 3.34-3.51

E_form = 12.8 kJ/mol of atoms
crystal system = triclinic
DOS at the Fermi energy = 22.17 states/eV/cell

=====

DFT (PBE-GGA) results for a relaxed structure of NdY2Mg3.

Cell lengths 3.8248, 3.8248, 11.5187 Å; angles 90.00, 90.00, 90.00 degrees
Last column: nearest neighbours and their distance in Å.
Fractional coordinates of all 6 atoms:
Nd: 0.0000 0.0000 0.0000  8 Mg 3.36
Y: 0.0000 0.0000 0.3363  8 Mg 3.29-3.30
Y: 0.0000 0.0000 0.6637  8 Mg 3.29-3.30
Mg: 0.5000 0.5000 0.1737  4 Y 3.29, 4 Nd 3.36
Mg: 0.5000 0.5000 0.5000  8 Y 3.30
Mg: 0.5000 0.5000 0.8263  4 Y 3.29, 4 Nd 3.36

E_form = -10.3 kJ/mol of atoms
crystal system = tetragonal
DOS at the Fermi energy = 8.17 states/eV/cell

=====

DFT (PBE-GGA) results for a relaxed structure of Nd3Y2Mg2.

Cell lengths 15.8797, 15.8797, 3.6924 Å; angles 90.00, 90.00, 166.23 degrees
Last column: nearest neighbours and their distance in Å.
Fractional coordinates of all 7 atoms:
Nd: 0.0000 0.0000 0.0000  12 Nd 3.69-3.81
Nd: 0.4185 0.5815 0.5000  4 Mg 3.32, 6 Nd 3.69
Nd: 0.5815 0.4185 0.5000  4 Mg 3.32, 6 Nd 3.69
Y: 0.2952 0.7048 0.5000  4 Mg 3.25, 2 Y 3.43
Y: 0.7048 0.2952 0.5000  4 Mg 3.25, 2 Y 3.43
Mg: 0.1451 0.8549 0.0000  4 Y 3.25, 4 Nd 3.32
Mg: 0.8549 0.1451 0.0000  4 Y 3.25, 4 Nd 3.32

E_form = 3.6 kJ/mol of atoms
crystal system = orthorhombic
DOS at the Fermi energy = 7.51 states/eV/cell

=====

DFT (PBE-GGA) results for a relaxed structure of Nd2YMg9.

Cell lengths 10.4420, 10.4420, 10.4420 Å; angles 33.84, 33.84, 33.84 degrees
Last column: nearest neighbours and their distance in Å.
Fractional coordinates of all 12 atoms:
Nd: 0.1415 0.1415 0.1415  12 Mg 3.50-3.66, 3 Nd 3.81
Nd: 0.8585 0.8585 0.8585  12 Mg 3.50-3.66, 3 Nd 3.81
Y: 0.0000 0.0000 0.0000  18 Mg 3.51-3.90
Mg: 0.0796 0.5844 0.5844  7 Mg 3.00-3.07
Mg: 0.3339 0.3339 0.3339  6 Mg 3.00-3.01
Mg: 0.4156 0.4156 0.9204  7 Mg 3.00-3.07
Mg: 0.4156 0.9204 0.4156  7 Mg 3.00-3.07
Mg: 0.5000 0.5000 0.5000  6 Mg 3.04
Mg: 0.5844 0.0796 0.5844  7 Mg 3.00-3.07
Mg: 0.5844 0.5844 0.0796  7 Mg 3.00-3.07
Mg: 0.6661 0.6661 0.6661  6 Mg 3.00-3.01
Mg: 0.9204 0.4156 0.4156  7 Mg 3.00-3.07

E_form = -5.1 kJ/mol of atoms
crystal system = trigonal
DOS at the Fermi energy = 11.42 states/eV/cell

=====

DFT (PBE-GGA) results for a relaxed structure of Nd4YMg3.

Cell lengths 3.8674, 5.6093, 11.2891 Å; angles 90.00, 90.00, 90.00 degrees
Last column: nearest neighbours and their distance in Å.
Fractional coordinates of all 8 atoms:
Nd: 0.0000 0.0000 0.0000  8 Mg 3.41-3.42
Nd: 0.0000 0.0000 0.5000  4 Y 3.41, 4 Mg 3.42
Nd: 0.0000 0.5000 0.2387  6 Mg 3.32-3.41, 2 Y 3.53
Nd: 0.0000 0.5000 0.7613  6 Mg 3.32-3.41, 2 Y 3.53
Y: 0.5000 0.5000 0.5000  8 Nd 3.41-3.53
Mg: 0.5000 0.0000 0.2502  8 Nd 3.41-3.42
Mg: 0.5000 0.0000 0.7498  8 Nd 3.41-3.42
Mg: 0.5000 0.5000 0.0000  8 Nd 3.32-3.41

E_form = -3.9 kJ/mol of atoms
crystal system = orthorhombic
DOS at the Fermi energy = 10.31 states/eV/cell

=====

DFT (PBE-GGA) results for a relaxed structure of Nd4YMg.

Cell lengths 6.7409, 6.7409, 11.4410 Å; angles 90.00, 90.00, 130.28 degrees
Last column: nearest neighbours and their distance in Å.
Fractional coordinates of all 12 atoms:
Nd: 0.0029 0.9971 0.5000  2 Mg 3.43-3.44, 2 Y 3.56, 4 Nd 3.60-3.63
Nd: 0.1824 0.8176 0.7521  2 Mg 3.46, 3 Y 3.62-3.80, 8 Nd 3.62-3.78
Nd: 0.3235 0.6765 0.4712  1 Mg 3.28, 2 Y 3.42, 4 Nd 3.47-3.65
Nd: 0.4790 0.5210 0.7538  2 Mg 3.27, 2 Nd 3.47-3.63, 1 Y 3.52
Nd: 0.5210 0.4790 0.2538  2 Mg 3.27, 2 Nd 3.47-3.63, 1 Y 3.52
Nd: 0.6765 0.3235 0.9712  1 Mg 3.28, 2 Y 3.42, 4 Nd 3.47-3.65
Nd: 0.8176 0.1824 0.2521  2 Mg 3.46, 3 Y 3.62-3.80, 8 Nd 3.62-3.78
Nd: 0.9971 0.0029 0.0000  2 Mg 3.43-3.44, 2 Y 3.56, 4 Nd 3.60-3.63
Y: 0.3229 0.6771 0.0303  1 Mg 3.23, 6 Nd 3.42-3.62
Y: 0.6771 0.3229 0.5303  1 Mg 3.23, 6 Nd 3.42-3.62
Mg: 0.1549 0.8451 0.2485  1 Y 3.23, 7 Nd 3.27-3.46
Mg: 0.8451 0.1549 0.7485  1 Y 3.23, 7 Nd 3.27-3.46

E_form = 1.0 kJ/mol of atoms
crystal system = orthorhombic
DOS at the Fermi energy = 15.53 states/eV/cell

=====

DFT (PBE-GGA) results for a relaxed structure of Nd3YMg2.

Cell lengths 3.8183, 3.8183, 12.7583 Å; angles 90.00, 90.00, 90.00 degrees
Last column: nearest neighbours and their distance in Å.
Fractional coordinates of all 6 atoms:
Nd: 0.0000 0.0000 0.0000  8 Mg 3.34
Nd: 0.0000 0.0000 0.3090  4 Mg 3.35, 4 Y 3.64
Nd: 0.0000 0.0000 0.6910  4 Mg 3.35, 4 Y 3.64
Y: 0.5000 0.5000 0.5000  8 Nd 3.64, 4 Y 3.82
Mg: 0.5000 0.5000 0.1542  8 Nd 3.34-3.35
Mg: 0.5000 0.5000 0.8458  8 Nd 3.34-3.35

E_form = -5.6 kJ/mol of atoms
crystal system = tetragonal
DOS at the Fermi energy = 6.48 states/eV/cell

=====

> What is the DOS at the Fermi energy in the fifth record?

11.42 states/eV/cell